1.
Crystalline HfBiAu3 at its relaxed geometry, computed with PBE.

abc: 5.1857 5.1857 5.1857
angles: 90.00 90.00 90.00
Closest atoms and distances in Å follow each position.
Space group Pm-3m (No. 221)
Unique sites:
Hf 0.0000 0.0000 0.0000 (multiplicity 1)  6 Au 2.59
Bi 0.5000 0.5000 0.5000 (multiplicity 1)  12 Au 3.67
Au 0.0000 0.0000 0.5000 (multiplicity 3)  2 Hf 2.59

Summary:
For the mass density, the calculation gives 11.7 g/cm3. The calculation puts the density of states at the Fermi level at 4.82 states/eV/f.u. The energy above the lowest structure with this stoichiometry comes out at 0 meV/atom.



2.
Crystalline HfBi3Au at its relaxed geometry, computed with PBE.

abc: 5.5798 5.5798 5.5798
angles: 90.00 90.00 90.00
Closest atoms and distances in Å follow each position.
Space group Pm-3m (No. 221)
Unique sites:
Hf 0.0000 0.0000 0.0000 (multiplicity 1)  6 Bi 2.79
Bi 0.0000 0.0000 0.5000 (multiplicity 3)  2 Hf 2.79
Au 0.5000 0.5000 0.5000 (multiplicity 1)  12 Bi 3.95

Summary:
For the mass density, the calculation gives 9.6 g/cm3. The calculation puts the density of states at the Fermi level at 2.35 states/eV/f.u. The energy above the lowest structure with this stoichiometry comes out at 0 meV/atom.



3.
Crystalline HfBiAu at its relaxed geometry, computed with PBE.

abc: 4.5630 4.5630 4.0098
angles: 90.00 90.00 120.00
Closest atoms and distances in Å follow each position.
Space group P3m1 (No. 156)
Unique sites:
Hf 0.0000 0.0000 0.0000 (multiplicity 1)  3 Au 2.73
Bi 0.3333 0.6667 0.4593 (multiplicity 1)  3 Au 3.01, 3 Hf 3.21
Au 0.6667 0.3333 0.8215 (multiplicity 1)  3 Hf 2.73, 3 Bi 3.01

Summary:
For the mass density, the calculation gives 13.4 g/cm3. The calculation puts the density of states at the Fermi level at 0.50 states/eV/f.u. The calculation puts the final energy at -17.579 eV per formula unit.



4.
Crystalline Hf2Bi2Au at its relaxed geometry, computed with PBE.

abc: 7.7206 7.7206 4.0886
angles: 90.00 90.00 90.00
Closest atoms and distances in Å follow each position.
Space group P4/mbm (No. 127)
Unique sites:
Hf 0.1437 0.3563 0.0000 (multiplicity 4)  2 Au 2.97, 6 Bi 2.97-3.10, 1 Hf 3.14
Bi 0.1586 0.6586 0.5000 (multiplicity 4)  6 Hf 2.97-3.10
Au 0.0000 0.0000 0.0000 (multiplicity 2)  4 Hf 2.97

Summary:
For the mass density, the calculation gives 13.2 g/cm3. The calculation puts the density of states at the Fermi level at 4.78 states/eV/f.u. The energy above the lowest structure with this stoichiometry comes out at 0 meV/atom.



5.
Crystalline HfBi3Au at its relaxed geometry, computed with PBE.

abc: 5.4653 5.4653 5.4653
angles: 90.00 90.00 90.00
Closest atoms and distances in Å follow each position.
Space group Pm-3m (No. 221)
Unique sites:
Hf 0.0000 0.0000 0.0000 (multiplicity 1)  12 Bi 3.86
Bi 0.0000 0.5000 0.5000 (multiplicity 3)  2 Au 2.73
Au 0.5000 0.5000 0.5000 (multiplicity 1)  6 Bi 2.73

Summary:
For the mass density, the calculation gives 10.2 g/cm3. The calculation puts the density of states at the Fermi level at 5.77 states/eV/f.u. The energy above the lowest structure with this stoichiometry comes out at 309 meV/atom.



6.
Crystalline HfBiAu at its relaxed geometry, computed with PBE.

abc: 3.2897 3.2897 13.1828
angles: 90.00 90.00 90.00
Closest atoms and distances in Å follow each position.
Space group I4mm (No. 107)
Unique sites:
Hf 0.0000 0.0000 0.0000 (multiplicity 2)  4 Au 2.88
Bi 0.0000 0.0000 0.3250 (multiplicity 2)  4 Hf 3.28, 4 Bi 3.29, 4 Au 3.47
Au 0.0000 0.0000 0.6293 (multiplicity 2)  4 Hf 2.88

Summary:
For the mass density, the calculation gives 13.6 g/cm3. The calculation puts the density of states at the Fermi level at 1.62 states/eV/f.u. The calculation puts the final energy at -17.612 eV per formula unit.



7.
Crystalline HfHgBi2Au at its relaxed geometry, computed with PBE.

abc: 5.5512 5.5512 5.0955
angles: 90.00 90.00 90.00
Closest atoms and distances in Å follow each position.
Space group P4/mmm (No. 123)
Unique sites:
Hf 0.0000 0.0000 0.0000 (multiplicity 1)  8 Bi 3.77, 4 Hg 3.93
Hg 0.5000 0.5000 0.0000 (multiplicity 1)  2 Au 2.55
Bi 0.0000 0.5000 0.5000 (multiplicity 2)  2 Au 2.78
Au 0.5000 0.5000 0.5000 (multiplicity 1)  2 Hg 2.55, 4 Bi 2.78

Summary:
For the mass density, the calculation gives 10.5 g/cm3. The calculation puts the density of states at the Fermi level at 4.77 states/eV/f.u. The calculation puts the final energy at -17.538 eV per formula unit.



8.
Crystalline HfMnBi2Au at its relaxed geometry, computed with PBE.

abc: 5.0224 5.0224 4.7907
angles: 90.00 90.00 90.00
Closest atoms and distances in Å follow each position.
Space group P4/mmm (No. 123)
Unique sites:
Hf 0.0000 0.0000 0.0000 (multiplicity 1)  2 Mn 2.40
Mn 0.0000 0.0000 0.5000 (multiplicity 1)  2 Hf 2.40, 4 Bi 2.51
Bi 0.0000 0.5000 0.5000 (multiplicity 2)  2 Mn 2.51
Au 0.5000 0.5000 0.0000 (multiplicity 1)  8 Bi 3.47, 4 Hf 3.55

Summary:
For the mass density, the calculation gives 11.7 g/cm3. The calculation puts the density of states at the Fermi level at 4.19 states/eV/f.u. The calculation puts the final energy at -27.814 eV per formula unit.



9.
Crystalline Hf2BiRuAu at its relaxed geometry, computed with PBE.

abc: 4.9602 4.9602 5.0750
angles: 90.00 90.00 90.00
Closest atoms and distances in Å follow each position.
Space group P4/mmm (No. 123)
Unique sites:
Hf 0.0000 0.5000 0.0000 (multiplicity 2)  2 Ru 2.48
Bi 0.0000 0.0000 0.5000 (multiplicity 1)  2 Ru 2.54
Ru 0.0000 0.0000 0.0000 (multiplicity 1)  4 Hf 2.48, 2 Bi 2.54
Au 0.5000 0.5000 0.5000 (multiplicity 1)  4 Bi 3.51, 8 Hf 3.55

Summary:
For the mass density, the calculation gives 11.5 g/cm3. The calculation puts the density of states at the Fermi level at 4.89 states/eV/f.u. The calculation puts the final energy at -34.441 eV per formula unit.



10.
Crystalline HfBiAu2Se at its relaxed geometry, computed with PBE.

abc: 5.1348 5.1348 5.8858
angles: 90.00 90.00 90.00
Closest atoms and distances in Å follow each position.
Space group P4/mmm (No. 123)
Unique sites:
Hf 0.0000 0.0000 0.0000 (multiplicity 1)  4 Au 2.57
Bi 0.0000 0.0000 0.5000 (multiplicity 1)  2 Hf 2.94
Au 0.0000 0.5000 0.0000 (multiplicity 2)  2 Hf 2.57
Se 0.5000 0.5000 0.5000 (multiplicity 1)  4 Bi 3.63, 8 Au 3.91

Summary:
For the mass density, the calculation gives 9.2 g/cm3. The value obtained for the energy relative to the elements, uncorrected is 0.6675 eV per atom. The calculation puts the density of states at the Fermi level at 5.90 states/eV/f.u.



11.
Crystalline Hf2TlBiAu at its relaxed geometry, computed with PBE.

abc: 5.2669 5.2669 5.1600
angles: 90.00 90.00 90.00
Closest atoms and distances in Å follow each position.
Space group P4/mmm (No. 123)
Unique sites:
Hf 0.0000 0.5000 0.0000 (multiplicity 2)  2 Au 2.63
Tl 0.0000 0.0000 0.5000 (multiplicity 1)  2 Au 2.58
Bi 0.5000 0.5000 0.5000 (multiplicity 1)  8 Hf 3.69, 4 Tl 3.72
Au 0.0000 0.0000 0.0000 (multiplicity 1)  2 Tl 2.58, 4 Hf 2.63

Summary:
For the mass density, the calculation gives 11.2 g/cm3. The calculation puts the density of states at the Fermi level at 4.42 states/eV/f.u. The calculation puts the final energy at -26.493 eV per formula unit.



12.
Crystalline HfBi2WAu at its relaxed geometry, computed with PBE.

abc: 5.3183 5.3183 5.1015
angles: 90.00 90.00 90.00
Closest atoms and distances in Å follow each position.
Space group P4/mmm (No. 123)
Unique sites:
Hf 0.0000 0.0000 0.0000 (multiplicity 1)  8 Bi 3.68, 4 Au 3.76
Bi 0.0000 0.5000 0.5000 (multiplicity 2)  2 W 2.66
W 0.5000 0.5000 0.5000 (multiplicity 1)  2 Au 2.55, 4 Bi 2.66
Au 0.5000 0.5000 0.0000 (multiplicity 1)  2 W 2.55

Summary:
For the mass density, the calculation gives 11.2 g/cm3. The calculation puts the density of states at the Fermi level at 6.09 states/eV/f.u. The calculation puts the final energy at -27.952 eV per formula unit.



13.
Crystalline Hg2Bi2Au at its relaxed geometry, computed with PBE.

abc: 7.6389 7.6389 4.9757
angles: 90.00 90.00 90.00
Closest atoms and distances in Å follow each position.
Space group P4/mbm (No. 127)
Unique sites:
Hg 0.1601 0.3399 0.0000 (multiplicity 4)  6 Bi 3.19-3.46, 1 Hg 3.46
Bi 0.1551 0.6551 0.5000 (multiplicity 4)  2 Au 2.89, 2 Hg 3.19
Au 0.0000 0.0000 0.5000 (multiplicity 2)  4 Bi 2.89

Summary:
For the mass density, the calculation gives 11.6 g/cm3. The calculation puts the density of states at the Fermi level at 3.84 states/eV/f.u. The energy above the lowest structure with this stoichiometry comes out at 50 meV/atom.



14.
Crystalline HgBi2Au2 at its relaxed geometry, computed with PBE.

abc: 8.5316 8.5316 3.5919
angles: 90.00 90.00 90.00
Closest atoms and distances in Å follow each position.
Space group P4/mbm (No. 127)
Unique sites:
Hg 0.0000 0.0000 0.0000 (multiplicity 2)  4 Bi 3.12
Bi 0.1847 0.3153 0.0000 (multiplicity 4)  6 Au 2.99-3.19, 2 Hg 3.12
Au 0.1174 0.6174 0.5000 (multiplicity 4)  1 Au 2.83, 2 Bi 2.99

Summary:
For the mass density, the calculation gives 12.9 g/cm3. The calculation puts the density of states at the Fermi level at 2.95 states/eV/f.u. The energy above the lowest structure with this stoichiometry comes out at 83 meV/atom.